CdTe: relaxed, PBE-GGA.

Lattice parameters (Å, degrees): 12.1499 12.1499 4.6597 90.00 90.00 90.00
Closest atoms and distances in Å follow each position.
Sites, in units of the cell vectors:
Cd1 0.8009 0.6212 0.0000  4 Te 2.82-2.99
Te1 0.7241 0.1093 0.5000  4 Cd 2.82-2.99
Cd2 0.3009 0.1212 0.5000  4 Te 2.82-2.99
Te2 0.7759 0.3907 0.0000  4 Cd 2.82-2.99
Cd3 0.6212 0.1991 0.0000  4 Te 2.82-2.99
Te3 0.2759 0.8907 0.5000  4 Cd 2.82-2.99
Te4 0.8907 0.7241 0.5000  4 Cd 2.82-2.99
Te5 0.6093 0.7759 0.0000  4 Cd 2.82-2.99
Cd4 0.3788 0.8009 0.0000  4 Te 2.82-2.99
Te6 0.3907 0.2241 0.0000  4 Cd 2.82-2.99
Te7 0.2241 0.6093 0.0000  4 Cd 2.82-2.99
Cd5 0.1212 0.6991 0.5000  4 Te 2.82-2.99
Cd6 0.1991 0.3788 0.0000  4 Te 2.82-2.99
Cd7 0.8788 0.3009 0.5000  4 Te 2.82-2.99
Cd8 0.6991 0.8788 0.5000  4 Te 2.82-2.99
Te8 0.1093 0.2759 0.5000  4 Cd 2.82-2.99

Summary:
Crystal system: tetragonal
VASP energy, eV per atom: -2.399
Formation energy (no corrections), eV/f.u.: -0.74

ZrCrGe2: relaxed, PBE-GGA.

Lattice parameters (Å, degrees): 4.5974 4.5974 4.5974 60.00 60.00 60.00
Closest atoms and distances in Å follow each position.
Sites, in units of the cell vectors:
Ge1 0.2500 0.2500 0.2500  4 Zr 2.82, 4 Cr 2.82
Ge2 0.7500 0.7500 0.7500  4 Zr 2.82, 4 Cr 2.82
Cr1 0.0000 0.0000 0.0000  8 Ge 2.82
Zr1 0.5000 0.5000 0.5000  8 Ge 2.82

Summary:
Energy of formation from the pure elements, kcal/mol of atoms: -0.59
Crystal system: cubic
DOS(E_F), states/eV per atom: 0.913
VASP energy, eV per atom: -6.877
Energy above the lowest structure with this stoichiometry, kJ per mole of atoms: 43.6

GeS2F: relaxed, PBE-GGA.

Lattice parameters (Å, degrees): 6.2264 6.2264 6.0324 58.93 58.93 90.00
Closest atoms and distances in Å follow each position.
Sites, in units of the cell vectors:
F1 0.5000 0.5000 0.0000  4 S 2.60
S1 0.0843 0.6250 0.2500  2 Ge 2.28
S2 0.8750 0.9157 0.7500  2 Ge 2.28
Ge1 0.7500 0.2500 0.5000  4 S 2.28
S3 0.6657 0.1250 0.2500  2 Ge 2.28
F2 0.2500 0.7500 0.5000  4 S 2.60
Ge2 0.0000 0.0000 0.0000  4 S 2.28
S4 0.3750 0.3343 0.7500  2 Ge 2.28

Summary:
Crystal system: tetragonal
DOS(E_F), states/eV per atom: 0.485
VASP energy, eV per atom: -3.867
Energy above the lowest structure with this stoichiometry, kJ per mole of atoms: 50.7
Formation energy (no corrections), eV/f.u.: -0.73

Nd2EuSi: relaxed, PBE-GGA.

Lattice parameters (Å, degrees): 3.8924 3.8924 8.0692 90.00 90.00 90.00
Closest atoms and distances in Å follow each position.
Sites, in units of the cell vectors:
Eu1 0.5000 0.5000 0.5000  8 Nd 3.74, 4 Eu 3.89, 2 Si 4.03
Nd1 0.0000 0.0000 0.1863  1 Nd 3.01, 4 Si 3.14
Si1 0.5000 0.5000 0.0000  8 Nd 3.14
Nd2 0.0000 0.0000 0.8137  1 Nd 3.01, 4 Si 3.14

Summary:
Crystal system: tetragonal
DOS(E_F), states/eV per atom: 1.251
VASP energy, eV per atom: -6.505
Energy above the lowest structure with this stoichiometry, kJ per mole of atoms: 1.0
Formation energy (no corrections), eV/f.u.: -0.79

AcNd3: relaxed, PBE-GGA.

Lattice parameters (Å, degrees): 3.8051 6.0857 6.5343 90.00 90.00 90.00
Closest atoms and distances in Å follow each position.
Sites, in units of the cell vectors:
Nd1 0.5000 0.5000 0.8284  8 Nd 3.72-3.83, 4 Ac 3.76
Nd2 0.5000 0.0000 0.5009  8 Nd 3.72-3.81, 4 Ac 3.78
Ac1 0.0000 0.0000 0.0005  10 Nd 3.75-3.78, 2 Ac 3.81
Nd3 0.0000 0.5000 0.3368  10 Nd 3.73-3.83, 2 Ac 3.75

Summary:
Energy of formation from the pure elements, kcal/mol of atoms: 1.04
Crystal system: orthorhombic
DOS(E_F), states/eV per atom: 1.768
VASP energy, eV per atom: -4.558

GaGe2: relaxed, PBE-GGA.

Lattice parameters (Å, degrees): 3.0243 3.0243 6.6762 103.09 103.09 90.00
Closest atoms and distances in Å follow each position.
Sites, in units of the cell vectors:
Ga1 0.0000 0.0000 0.0000  8 Ge 3.01, 4 Ga 3.02
Ge1 0.6676 0.6676 0.3352  8 Ge 2.99-3.02, 4 Ga 3.01
Ge2 0.3324 0.3324 0.6648  8 Ge 2.99-3.02, 4 Ga 3.01

Summary:
Energy of formation from the pure elements, kcal/mol of atoms: 4.80
Crystal system: tetragonal
DOS(E_F), states/eV per atom: 0.314
VASP energy, eV per atom: -3.879
Energy above the lowest structure with this stoichiometry, kJ per mole of atoms: 0.0

YMgO: relaxed, PBE-GGA.

Lattice parameters (Å, degrees): 5.6884 5.6816 8.4167 109.65 90.00 90.00
Closest atoms and distances in Å follow each position.
Sites, in units of the cell vectors:
Mg1 0.8232 0.6829 0.0004  5 Mg 2.89-2.96
O1 0.7500 0.9996 0.5000  4 Y 2.26
O2 0.2500 0.0004 0.5000  4 Y 2.26
Y1 0.5000 0.6848 0.3692  4 O 2.26
Mg2 0.6768 0.1829 0.0004  5 Mg 2.89-2.96
O3 0.2500 0.5004 0.5000  4 Y 2.26
Mg3 0.1768 0.3171 0.9996  5 Mg 2.89-2.96
Y2 0.0000 0.8152 0.6308  4 O 2.26
Mg4 0.3232 0.8171 0.9996  5 Mg 2.89-2.96
O4 0.7500 0.4996 0.5000  4 Y 2.26
Y3 0.5000 0.3152 0.6308  4 O 2.26
Y4 0.0000 0.1848 0.3692  4 O 2.26

Summary:
Crystal system: monoclinic
DOS(E_F), states/eV per atom: 0.271
VASP energy, eV per atom: -6.285
Formation energy (no corrections), eV/f.u.: -5.84

Np2Be4Si3Pt: relaxed, PBE-GGA.

Lattice parameters (Å, degrees): 3.8414 3.8414 9.7485 90.00 90.00 90.00
Closest atoms and distances in Å follow each position.
Sites, in units of the cell vectors:
Be1 0.0000 0.5000 0.3636  3 Si 2.26-2.34, 2 Pt 2.34
Np1 0.5000 0.0000 0.2426  6 Si 2.92-3.16, 8 Be 2.96-3.05, 2 Pt 3.16
Si1 0.5000 0.0000 0.8686  5 Be 2.26-2.31
Np2 0.0000 0.5000 0.7574  6 Si 2.92-3.16, 8 Be 2.96-3.05, 2 Pt 3.16
Be2 0.5000 0.0000 0.6364  3 Si 2.26-2.34, 2 Pt 2.34
Si2 0.0000 0.5000 0.1314  5 Be 2.26-2.31
Si3 0.0000 0.0000 0.5000  4 Be 2.34
Be3 0.0000 0.0000 0.0000  4 Si 2.31
Pt1 0.5000 0.5000 0.5000  4 Be 2.34
Be4 0.5000 0.5000 0.0000  4 Si 2.31

Summary:
Crystal system: tetragonal
DOS(E_F), states/eV per atom: 1.216
VASP energy, eV per atom: -6.630
Formation energy (no corrections), eV/f.u.: -3.21

Er6Te2Se: relaxed, PBE-GGA.

Lattice parameters (Å, degrees): 6.6593 7.5758 9.9949 90.00 91.82 90.00
Closest atoms and distances in Å follow each position.
Sites, in units of the cell vectors:
Er1 0.6382 0.2003 0.5458  1 Se 2.90, 3 Te 3.12-3.18
Er2 0.3526 0.8352 0.0503  1 Se 2.77, 2 Te 3.06-3.09
Se1 0.0000 0.0000 0.5000  6 Er 2.77-2.90
Er3 0.1645 0.0280 0.7616  1 Se 2.81, 2 Te 3.03-3.09
Te1 0.5821 0.8740 0.7353  7 Er 3.03-3.18
Te2 0.9179 0.3740 0.7647  7 Er 3.03-3.18
Er4 0.6474 0.1648 0.9497  1 Se 2.77, 2 Te 3.06-3.09
Te3 0.4179 0.1260 0.2647  7 Er 3.03-3.18
Er5 0.8355 0.9720 0.2384  1 Se 2.81, 2 Te 3.03-3.09
Er6 0.3355 0.5280 0.7384  1 Se 2.81, 2 Te 3.03-3.09
Er7 0.1474 0.3352 0.4497  1 Se 2.77, 2 Te 3.06-3.09
Er8 0.8618 0.7003 0.9542  1 Se 2.90, 3 Te 3.12-3.18
Te4 0.0821 0.6260 0.2353  7 Er 3.03-3.18
Er9 0.6645 0.4720 0.2616  1 Se 2.81, 2 Te 3.03-3.09
Er10 0.3618 0.7997 0.4542  1 Se 2.90, 3 Te 3.12-3.18
Er11 0.1382 0.2997 0.0458  1 Se 2.90, 3 Te 3.12-3.18
Se2 0.5000 0.5000 0.0000  6 Er 2.77-2.90
Er12 0.8526 0.6648 0.5503  1 Se 2.77, 2 Te 3.06-3.09

Summary:
Crystal system: monoclinic
DOS(E_F), states/eV per atom: 0.885
VASP energy, eV per atom: -5.018
Formation energy (no corrections), eV/f.u.: -8.02

Sr6Mg3Cd: relaxed, PBE-GGA.

Lattice parameters (Å, degrees): 6.0701 10.2228 13.5941 111.03 90.00 90.00
Closest atoms and distances in Å follow each position.
Sites, in units of the cell vectors:
Sr1 0.7500 0.8618 0.8426  4 Mg 3.75-3.95, 6 Sr 3.95-4.04
Sr2 0.7500 0.1532 0.6763  3 Cd 3.43-3.58, 1 Mg 3.52
Mg1 0.2500 0.7593 0.9601  1 Mg 3.49, 9 Sr 3.74-3.87
Mg2 0.2500 0.5256 0.3643  7 Sr 3.52-3.88, 2 Mg 3.76
Sr3 0.7500 0.7572 0.4982  3 Mg 3.54-3.88, 3 Cd 3.55-3.64, 1 Sr 3.90
Sr4 0.2500 0.1168 0.8602  1 Cd 3.40, 1 Mg 3.61
Cd1 0.7500 0.0411 0.4062  8 Sr 3.40-3.64
Sr5 0.2500 0.1382 0.1574  4 Mg 3.75-3.95, 6 Sr 3.95-4.04
Sr6 0.7500 0.3348 0.3424  1 Cd 3.41, 4 Mg 3.49-3.72
Sr7 0.7500 0.5103 0.9134  6 Mg 3.50-3.86, 3 Sr 3.89-3.91
Mg3 0.7500 0.5836 0.2215  5 Sr 3.49-3.61, 3 Mg 3.49-3.76
Sr8 0.2500 0.4897 0.0866  6 Mg 3.50-3.86, 3 Sr 3.89-3.91
Sr9 0.2500 0.8468 0.3237  3 Cd 3.43-3.58, 1 Mg 3.52
Sr10 0.2500 0.6652 0.6576  1 Cd 3.41, 4 Mg 3.49-3.72
Mg4 0.2500 0.4164 0.7785  5 Sr 3.49-3.61, 3 Mg 3.49-3.76
Mg5 0.7500 0.4744 0.6357  7 Sr 3.52-3.88, 2 Mg 3.76
Sr11 0.2500 0.2428 0.5018  3 Mg 3.54-3.88, 3 Cd 3.55-3.64, 1 Sr 3.90
Cd2 0.2500 0.9589 0.5938  8 Sr 3.40-3.64
Mg6 0.7500 0.2407 0.0399  1 Mg 3.49, 9 Sr 3.74-3.87
Sr12 0.7500 0.8832 0.1398  1 Cd 3.40, 1 Mg 3.61

Summary:
Energy of formation from the pure elements, kcal/mol of atoms: -1.70
Crystal system: monoclinic
DOS(E_F), states/eV per atom: 0.930
VASP energy, eV per atom: -1.653

SrTaBr2: relaxed, PBE-GGA.

Lattice parameters (Å, degrees): 5.2825 5.2825 9.5964 74.02 74.02 90.00
Closest atoms and distances in Å follow each position.
Sites, in units of the cell vectors:
Sr1 0.5000 0.5000 0.0000  4 Br 3.05
Br1 0.6841 0.1250 0.2500  2 Ta 2.76, 2 Sr 3.05
Sr2 0.2500 0.7500 0.5000  4 Br 3.05
Br2 0.0659 0.6250 0.2500  2 Ta 2.76, 2 Sr 3.05
Br3 0.8750 0.9341 0.7500  2 Ta 2.76, 2 Sr 3.05
Ta1 0.7500 0.2500 0.5000  4 Br 2.76
Br4 0.3750 0.3159 0.7500  2 Ta 2.76, 2 Sr 3.05
Ta2 0.0000 0.0000 0.0000  4 Br 2.76

Summary:
Crystal system: tetragonal
DOS(E_F), states/eV per atom: 0.392
VASP energy, eV per atom: -4.186
Energy above the lowest structure with this stoichiometry, kJ per mole of atoms: 35.4
Formation energy (no corrections), eV/f.u.: 0.14

NaCdAu3: relaxed, PBE-GGA.

Lattice parameters (Å, degrees): 5.4150 5.4150 5.2585 106.06 106.06 117.55
Closest atoms and distances in Å follow each position.
Sites, in units of the cell vectors:
Au1 0.6272 0.1273 0.2545  4 Au 2.74-2.81, 2 Cd 2.94
Au2 0.0768 0.0768 0.1537  4 Au 2.74, 1 Cd 2.86, 1 Na 2.97
Na1 0.4106 0.4106 0.8211  7 Au 2.97-3.32, 3 Cd 3.06-3.13
Cd1 0.7551 0.7551 0.5102  5 Au 2.86-2.94, 3 Na 3.06-3.13
Au3 0.1273 0.6272 0.2545  4 Au 2.74-2.81, 2 Cd 2.94

Summary:
Energy of formation from the pure elements, kcal/mol of atoms: -4.17
Crystal system: orthorhombic
DOS(E_F), states/eV per atom: 0.311
VASP energy, eV per atom: -2.594
Energy above the lowest structure with this stoichiometry, kJ per mole of atoms: 0.0

> The lowest VASP energy belongs to which entry?

ZrCrGe2